1.
! CsCd2I (PBE, optimized geometry); values from VASP
&SYSTEM
  ibrav = 0, nat = 8, ntyp = 3
/
ATOMIC_SPECIES
Cd 112.41 Cd.upf
Cs 132.91 Cs.upf
I 126.90 I.upf
CELL_PARAMETERS angstrom
-7.733 -1.380 6.835
6.087 -6.316 5.611
0.370 -0.985 8.151
ATOMIC_POSITIONS crystal
Cd 0.152 0.625 0.250
Cd 0.375 0.402 0.750
Cd 0.598 0.125 0.250
Cd 0.875 0.848 0.750
Cs 0.750 0.250 0.500
Cs 0.000 0.000 0.000
I 0.500 0.500 0.000
I 0.250 0.750 0.500
! volume	396	Å³/cell
! size of the total moment	0.00	μB/cell
! E_form (uncorrected)	-371	meV/atom
! polymorph energy (0 for the lowest one)	0.0	kJ/mol of atoms


2.
! NbCoSeN2 (PBE, optimized geometry); values from VASP
&SYSTEM
  ibrav = 0, nat = 5, ntyp = 4
/
ATOMIC_SPECIES
Nb 92.91 Nb.upf
N 14.01 N.upf
Se 78.96 Se.upf
Co 58.93 Co.upf
CELL_PARAMETERS angstrom
3.741 0.000 0.000
0.000 3.741 0.000
0.000 0.000 4.573
ATOMIC_POSITIONS crystal
Nb 0.500 0.500 0.500
N 0.500 0.000 0.000
N 0.000 0.500 0.000
Se 0.000 0.000 0.500
Co 0.000 0.000 0.000
! volume	64	Å³/cell
! size of the total moment	0.03	μB/cell
! E_form (uncorrected)	924	meV/atom
! polymorph energy (0 for the lowest one)	27.4	kJ/mol of atoms


3.
! Pr6Hg4Pb7 (PBE, optimized geometry); values from VASP
&SYSTEM
  ibrav = 0, nat = 17, ntyp = 3
/
ATOMIC_SPECIES
Pb 207.20 Pb.upf
Pr 140.91 Pr.upf
Hg 200.59 Hg.upf
CELL_PARAMETERS angstrom
8.394 0.000 -2.968
-4.197 7.269 -2.968
0.000 0.000 8.903
ATOMIC_POSITIONS crystal
Pb 0.500 0.250 0.750
Pb 0.250 0.500 0.750
Pb 0.750 0.500 0.250
Pb 0.750 0.250 0.500
Pb 0.500 0.750 0.250
Pb 0.250 0.750 0.500
Pb 0.000 0.000 0.000
Pr 0.702 0.000 0.702
Pr 0.000 0.702 0.702
Pr 0.298 0.298 0.000
Pr 0.298 0.000 0.298
Pr 0.702 0.702 0.000
Pr 0.000 0.298 0.298
Hg 0.500 0.000 0.000
Hg 0.000 0.500 0.000
Hg 0.000 0.000 0.500
Hg 0.500 0.500 0.500
! volume	543	Å³/cell
! size of the total moment	0.00	μB/cell
! ΔH_f (0 K)	-0.18	eV per atom


4.
! Be2InSe (PBE, optimized geometry); values from VASP
&SYSTEM
  ibrav = 0, nat = 4, ntyp = 3
/
ATOMIC_SPECIES
In 114.82 In.upf
Be 9.01 Be.upf
Se 78.96 Se.upf
CELL_PARAMETERS angstrom
5.579 -0.001 -0.002
-2.309 4.002 -0.029
0.960 1.445 3.048
ATOMIC_POSITIONS crystal
In 0.000 0.500 0.500
Be 0.000 0.000 0.000
Be 0.500 0.000 0.500
Se 0.500 0.500 0.000
! volume	68	Å³/cell
! size of the total moment	0.00	μB/cell
! E_form (uncorrected)	537	meV/atom
! polymorph energy (0 for the lowest one)	37.4	kJ/mol of atoms


5.
! TiTcP2S (PBE, optimized geometry); values from VASP
&SYSTEM
  ibrav = 0, nat = 5, ntyp = 4
/
ATOMIC_SPECIES
S 32.06 S.upf
Tc 98.00 Tc.upf
Ti 47.87 Ti.upf
P 30.97 P.upf
CELL_PARAMETERS angstrom
-3.355 1.236 3.077
-1.177 -4.536 0.539
2.985 -0.371 3.404
ATOMIC_POSITIONS crystal
S 0.000 0.000 0.500
Tc 0.500 0.500 0.500
Ti 0.000 0.000 0.000
P 0.000 0.500 0.000
P 0.500 0.000 0.000
! volume	101	Å³/cell
! size of the total moment	3.34	μB/cell
! E_form (uncorrected)	624	meV/atom
! polymorph energy (0 for the lowest one)	16.0	kJ/mol of atoms


6.
! BaBeTc2 (PBE, optimized geometry); values from VASP
&SYSTEM
  ibrav = 0, nat = 4, ntyp = 3
/
ATOMIC_SPECIES
Tc 98.00 Tc.upf
Be 9.01 Be.upf
Ba 137.33 Ba.upf
CELL_PARAMETERS angstrom
-0.070 -2.579 -3.321
3.418 -2.238 -0.998
-0.759 -6.022 2.023
ATOMIC_POSITIONS crystal
Tc 0.997 0.997 0.009
Tc 0.690 0.690 0.931
Be 0.315 0.315 0.054
Ba 0.498 0.498 0.505
! volume	91	Å³/cell
! size of the total moment	0.00	μB/cell
! ΔH_f (0 K)	0.24	eV per atom


7.
! TbEr9Tm2 (PBE, optimized geometry); values from VASP
&SYSTEM
  ibrav = 0, nat = 12, ntyp = 3
/
ATOMIC_SPECIES
Er 167.26 Er.upf
Tm 168.93 Tm.upf
Tb 158.93 Tb.upf
CELL_PARAMETERS angstrom
-1.530 -3.608 3.025
-1.784 -2.499 -3.884
13.070 -6.870 -1.583
ATOMIC_POSITIONS crystal
Er 0.500 0.500 0.000
Er 0.000 0.500 0.832
Er 0.500 0.000 0.168
Er 0.500 0.500 0.666
Er 0.000 0.500 0.500
Er 0.500 0.000 0.500
Er 0.500 0.000 0.832
Er 0.000 0.500 0.168
Er 0.500 0.500 0.334
Tm 0.000 0.000 0.666
Tm 0.000 0.000 0.334
Tb 0.000 0.000 0.000
! volume	364	Å³/cell
! size of the total moment	0.00	μB/cell
! ΔH_f (0 K)	0.02	eV per atom
! polymorph energy (0 for the lowest one)	0.0	kJ/mol of atoms


8.
! BaAlZn (PBE, optimized geometry); values from VASP
&SYSTEM
  ibrav = 0, nat = 3, ntyp = 3
/
ATOMIC_SPECIES
Al 26.98 Al.upf
Zn 65.41 Zn.upf
Ba 137.33 Ba.upf
CELL_PARAMETERS angstrom
5.099 0.000 0.000
2.549 4.416 0.000
2.549 1.472 4.163
ATOMIC_POSITIONS crystal
Al 0.000 0.000 0.000
Zn 0.250 0.250 0.250
Ba 0.500 0.500 0.500
! volume	94	Å³/cell
! size of the total moment	0.00	μB/cell
! ΔH_f (0 K)	0.07	eV per atom
! polymorph energy (0 for the lowest one)	26.0	kJ/mol of atoms


9.
! SmZn2GaCu (PBE, optimized geometry); values from VASP
&SYSTEM
  ibrav = 0, nat = 5, ntyp = 4
/
ATOMIC_SPECIES
Sm 150.36 Sm.upf
Ga 69.72 Ga.upf
Cu 63.55 Cu.upf
Zn 65.41 Zn.upf
CELL_PARAMETERS angstrom
-3.328 2.197 1.457
-0.247 -2.592 3.343
4.934 3.243 0.194
ATOMIC_POSITIONS crystal
Sm 0.440 0.440 0.880
Ga 0.823 0.823 0.645
Cu 0.195 0.695 0.389
Zn 0.063 0.063 0.127
Zn 0.691 0.191 0.383
! volume	92	Å³/cell
! size of the total moment	0.00	μB/cell
! ΔH_f (0 K)	-0.36	eV per atom


10.
! Cs2NbTe3 (PBE, optimized geometry); values from VASP
&SYSTEM
  ibrav = 0, nat = 24, ntyp = 3
/
ATOMIC_SPECIES
Nb 92.91 Nb.upf
Te 127.60 Te.upf
Cs 132.91 Cs.upf
CELL_PARAMETERS angstrom
8.131 0.000 0.381
4.065 7.830 0.191
-0.580 0.000 18.516
ATOMIC_POSITIONS crystal
Nb 0.260 0.991 0.335
Nb 0.750 0.991 0.165
Nb 0.740 0.009 0.665
Nb 0.250 0.009 0.835
Te 0.662 0.200 0.548
Te 0.565 0.316 0.134
Te 0.119 0.316 0.366
Te 0.564 0.873 0.250
Te 0.138 0.200 0.952
Te 0.436 0.127 0.750
Te 0.881 0.684 0.634
Te 0.968 0.063 0.750
Te 0.862 0.800 0.048
Te 0.435 0.684 0.866
Te 0.032 0.937 0.250
Te 0.338 0.800 0.452
Cs 0.355 0.793 0.073
Cs 0.044 0.371 0.154
Cs 0.852 0.793 0.427
Cs 0.148 0.207 0.573
Cs 0.956 0.629 0.846
Cs 0.415 0.629 0.654
Cs 0.585 0.371 0.346
Cs 0.645 0.207 0.927
! volume	1181	Å³/cell
! size of the total moment	1.54	μB/cell
! E_form (uncorrected)	-704	meV/atom


11.
! Ge2AuO (PBE, optimized geometry); values from VASP
&SYSTEM
  ibrav = 0, nat = 4, ntyp = 3
/
ATOMIC_SPECIES
Ge 72.64 Ge.upf
Au 196.97 Au.upf
O 16.00 O.upf
CELL_PARAMETERS angstrom
4.061 0.000 0.000
2.031 3.517 0.000
2.031 1.172 5.973
ATOMIC_POSITIONS crystal
Ge 0.900 0.900 0.300
Ge 0.100 0.100 0.700
Au 0.500 0.500 0.500
O 0.000 0.000 0.000
! volume	85	Å³/cell
! size of the total moment	0.00	μB/cell
! E_form (uncorrected)	-461	meV/atom


12.
! Pm4Pr5Tm2 (PBE, optimized geometry); values from VASP
&SYSTEM
  ibrav = 0, nat = 11, ntyp = 3
/
ATOMIC_SPECIES
Pm 145.00 Pm.upf
Pr 140.91 Pr.upf
Tm 168.93 Tm.upf
CELL_PARAMETERS angstrom
3.528 0.000 -0.666
-0.211 11.757 -1.116
-0.097 0.257 9.158
ATOMIC_POSITIONS crystal
Pm 0.039 0.263 0.077
Pm 0.359 0.204 0.717
Pm 0.961 0.737 0.923
Pm 0.641 0.796 0.283
Pr 0.500 0.000 0.000
Pr 0.097 0.538 0.195
Pr 0.178 0.075 0.356
Pr 0.822 0.925 0.644
Pr 0.903 0.462 0.805
Tm 0.716 0.358 0.432
Tm 0.284 0.642 0.568
! volume	380	Å³/cell
! size of the total moment	0.00	μB/cell
! ΔH_f (0 K)	0.08	eV per atom
! polymorph energy (0 for the lowest one)	0.0	kJ/mol of atoms


13.
! As2IrPb (PBE, optimized geometry); values from VASP
&SYSTEM
  ibrav = 0, nat = 4, ntyp = 3
/
ATOMIC_SPECIES
As 74.92 As.upf
Pb 207.20 Pb.upf
Ir 192.22 Ir.upf
CELL_PARAMETERS angstrom
4.736 -0.033 0.000
-1.252 4.568 0.000
0.000 0.000 3.719
ATOMIC_POSITIONS crystal
As 0.000 0.000 0.000
As 0.500 0.500 0.000
Pb 0.000 0.500 0.500
Ir 0.500 0.000 0.500
! volume	80	Å³/cell
! size of the total moment	0.00	μB/cell
! ΔH_f (0 K)	0.54	eV per atom
! polymorph energy (0 for the lowest one)	57.0	kJ/mol of atoms